A plane-wave DFT calculation with PBE was carried out for crystalline Ba2MgTaP at its relaxed geometry.

a = 6.480 Å, b = 4.577 Å, c = 6.480 Å
α = 90.00°, β = 90.00°, γ = 90.00°
Site moments in Bohr magnetons follow the coordinates.
Sites, in units of the cell vectors:
P  0.000  0.500  0.000  0.00
Mg  0.000  0.000  0.000  -0.01
Ba  0.000  0.000  0.500  0.11
Ba  0.500  0.000  0.000  0.10
Ta  0.500  0.500  0.500  2.25

Properties
Theoretical density: 4.413 g/cm³
M_tot: 4.440 μB/f.u.
Calculated total energy: -3.5636 eV/atom
Formation enthalpy at 0 K: 0.977 eV per atom



A plane-wave DFT calculation with PBE was carried out for crystalline Ba2MgTlP at its relaxed geometry.

a = 6.324 Å, b = 6.324 Å, c = 4.839 Å
α = 90.00°, β = 90.00°, γ = 90.00°
Sites, in units of the cell vectors:
Mg  0.000  0.000  0.500
P  0.000  0.000  0.000
Tl  0.500  0.500  0.500
Ba  0.000  0.500  0.000
Ba  0.500  0.000  0.000

Properties
Theoretical density: 4.584 g/cm³
M_tot: 0.000 μB/f.u.
Calculated total energy: -3.1112 eV/atom
Formation enthalpy at 0 K: -0.468 eV per atom